A geometry-optimized Rb2TlGeF6 structure, computed with PBE.

Cell lengths 6.5875, 6.5875, 9.3060 Å; angles 90.00, 90.00, 90.00 degrees
Closest atoms and distances in Å follow each position.
Space group I4/mmm (No. 139)
Asymmetric unit:
1 Rb 0.0000 0.5000 0.2500 [4 per cell]  12 F 3.31
2 Tl 0.0000 0.0000 0.0000 [2 per cell]  6 F 2.64
3 Ge 0.0000 0.0000 0.5000 [2 per cell]  6 F 2.01
4 F 0.0000 0.0000 0.2836 [4 per cell]  1 Ge 2.01
5 F 0.2163 0.2163 0.5000 [8 per cell]  1 Ge 2.01

Calculated values
N(E_F): 11.94 states/eV/cell
energy: -4.36 eV per atom
formation energy from raw total energies: -2350 meV/atom
E above lowest polymorph: 0.02 eV/f.u.


A geometry-optimized YHoMn4 structure, computed with PBE.

Cell lengths 7.2137, 7.2137, 7.2137 Å; angles 90.00, 90.00, 90.00 degrees
Closest atoms and distances in Å follow each position.
Space group F-43m (No. 216)
Asymmetric unit:
1 Y 0.0000 0.0000 0.0000 [4 per cell]  12 Mn 2.99, 4 Ho 3.12
2 Ho 0.2500 0.2500 0.2500 [4 per cell]  12 Mn 2.99, 4 Y 3.12
3 Mn 0.1249 0.1249 0.6249 [16 per cell]  6 Mn 2.55

Calculated values
N(E_F): 37.21 states/eV/cell
energy: -7.81 eV per atom


A geometry-optimized BaPAu structure, computed with PBE.

Cell lengths 6.4806, 6.4806, 4.6668 Å; angles 90.00, 90.00, 90.00 degrees
Closest atoms and distances in Å follow each position.
Space group P4/nmm (No. 129, origin choice 2)
Asymmetric unit:
1 Ba 0.2500 0.7500 0.0000 [2 per cell]  4 P 3.25
2 P 0.2500 0.2500 0.0504 [2 per cell]  2 Au 2.32-2.35
3 Au 0.2500 0.2500 0.5479 [2 per cell]  2 P 2.32-2.35

Calculated values
N(E_F): 1.90 states/eV/cell
energy: -4.20 eV per atom